1.
The following is a DFT calculation (GGA-PBE) of a relaxed LiScTi crystal.

Summary:
Offset from the most stable computed form, meV per atom: 72

Unit cell a=4.823 b=3.089 c=7.942 alpha=90.00 beta=100.43 gamma=90.00
Space group P2_1/m (No. 11)
Inequivalent atoms, fractional coordinates:
Li  0.145  0.250  0.130 (multiplicity 2)
Sc  0.334  0.250  0.782 (multiplicity 2)
Ti  0.241  0.750  0.458 (multiplicity 2)

***

2.
The following is a DFT calculation (GGA-PBE) of a relaxed LiScTi crystal.

Summary:
Offset from the most stable computed form, meV per atom: 1526

Unit cell a=4.0858 b=4.0858 c=9.7668 alpha=90.00 beta=90.00 gamma=120.00
Space group P6_3/mmc (No. 194)
Inequivalent atoms, fractional coordinates:
Li  0.3333  0.6667  0.2500 (multiplicity 2)
Sc  0.0000  0.0000  0.2500 (multiplicity 2)
Ti  0.0000  0.0000  0.0000 (multiplicity 2)

***

For the records above, the corresponding E values read -5.228; -3.774 eV/atom.